(1)
Entry from the Alexandria database: a relaxed structure of TlInCl2 (PBE).

a = 5.4646 Å, b = 5.4646 Å, c = 3.8615 Å
α = 89.79°, β = 89.79°, γ = 89.94°
Last column: nearest neighbours and their distance in Å.
Positions (direct):
1 In 0.5000 0.0000 0.5000  8 Cl 3.34-3.35
2 Cl 0.5000 0.5000 0.0000  4 Tl 3.34-3.35, 4 In 3.34-3.35
3 Cl 0.0000 0.0000 0.0000  4 In 3.34-3.35, 4 Tl 3.34-3.35
4 Tl 0.0000 0.5000 0.5000  8 Cl 3.34-3.35

Output
The calculated volume is 28.83 A^3/atom.



(2)
Entry from the Alexandria database: a relaxed structure of TlInCl2 (PBE).

a = 6.6579 Å, b = 6.6579 Å, c = 4.5736 Å
α = 90.08°, β = 90.08°, γ = 38.60°
Last column: nearest neighbours and their distance in Å.
Positions (direct):
1 In 0.4959 0.4959 0.6275  1 Cl 2.79
2 Cl 0.0204 0.0204 0.1214  1 Tl 3.08, 4 In 3.17-3.21
3 Cl 0.7182 0.7182 0.6247  1 In 2.79
4 Tl 0.2655 0.2655 0.1264  5 Cl 3.08-3.23

Output
The calculated volume is 31.62 A^3/atom.



Ordering by calculated energy gives the sequence (2), (1), with the first entry being the most stable.



(1)
Entry from the Alexandria database: a relaxed structure of TlInCl6 (PBE).

a = 6.5052 Å, b = 6.5051 Å, c = 6.9658 Å
α = 62.16°, β = 62.16°, γ = 59.99°
Last column: nearest neighbours and their distance in Å.
Positions (direct):
1 Cl 0.7561 0.0796 0.7548  1 In 2.57, 1 Tl 2.66
2 Cl 0.9204 0.5906 0.2451  1 In 2.57, 1 Tl 2.66
3 Cl 0.4094 0.7561 0.7548  1 In 2.57, 1 Tl 2.66
4 Cl 0.0796 0.4094 0.7549  1 In 2.57, 1 Tl 2.66
5 Cl 0.2439 0.9204 0.2452  1 In 2.57, 1 Tl 2.66
6 Cl 0.5906 0.2439 0.2452  1 In 2.57, 1 Tl 2.66
7 Tl 0.5000 0.5000 0.5000  6 Cl 2.66
8 In 0.0000 0.0000 0.0000  6 Cl 2.57

Output
The calculated volume is 26.87 A^3/atom.



(2)
Entry from the Alexandria database: a relaxed structure of TlInCl6 (PBE).

a = 6.8368 Å, b = 6.8368 Å, c = 6.7449 Å
α = 93.67°, β = 93.67°, γ = 118.13°
Last column: nearest neighbours and their distance in Å.
Positions (direct):
1 Cl 0.9961 0.2906 0.2585  1 In 2.57, 1 Tl 2.66
2 Cl 0.7144 0.7144 0.2042  1 In 2.57, 1 Tl 2.65
3 Cl 0.2856 0.2856 0.7958  1 In 2.57, 1 Tl 2.65
4 Cl 0.2905 0.9961 0.2585  1 In 2.57, 1 Tl 2.66
5 Cl 0.7094 0.0039 0.7415  1 In 2.57, 1 Tl 2.66
6 Cl 0.0039 0.7094 0.7415  1 In 2.57, 1 Tl 2.66
7 Tl 0.0000 0.0000 0.5000  6 Cl 2.65-2.66
8 In 0.0000 0.0000 0.0000  6 Cl 2.57

Output
The calculated volume is 34.48 A^3/atom.



Ordering by calculated energy gives the sequence (2), (1), with the first entry being the most stable.



(1)
Entry from the Alexandria database: a relaxed structure of TlIn2Cl (PBE).

a = 5.4954 Å, b = 5.4954 Å, c = 3.7169 Å
α = 90.00°, β = 90.00°, γ = 90.63°
Last column: nearest neighbours and their distance in Å.
Positions (direct):
1 In 0.5000 0.5000 0.0000  4 Tl 3.32, 4 Cl 3.32
2 In 0.0000 0.0000 0.0000  4 Cl 3.32, 4 Tl 3.32
3 Cl 0.0000 0.5000 0.5000  8 In 3.32
4 Tl 0.5000 0.0000 0.5000  8 In 3.32

Output
The calculated volume is 28.06 A^3/atom.



(2)
Entry from the Alexandria database: a relaxed structure of TlIn2Cl (PBE).

a = 6.4756 Å, b = 6.4756 Å, c = 6.4756 Å
α = 147.74°, β = 128.42°, γ = 62.16°
Last column: nearest neighbours and their distance in Å.
Positions (direct):
1 Cl 0.7630 0.2630 0.5000  6 In 3.13-3.35, 2 Tl 3.42
2 In 0.2422 0.7422 0.5000  4 In 3.29-3.60, 4 Cl 3.35, 2 Tl 3.39
3 In 0.9939 0.9939 0.0000  2 Cl 3.13, 2 In 3.29, 4 Tl 3.34
4 Tl 0.5010 0.5010 0.0000  6 In 3.34-3.39, 2 Cl 3.42, 2 Tl 3.60

Output
The calculated volume is 28.11 A^3/atom.



(3)
Entry from the Alexandria database: a relaxed structure of TlIn2Cl (PBE).

a = 6.5977 Å, b = 6.5977 Å, c = 6.5977 Å
α = 139.92°, β = 139.92°, γ = 57.98°
Last column: nearest neighbours and their distance in Å.
Positions (direct):
1 Tl 0.2500 0.7500 0.5000  4 Cl 3.20
2 In 0.0000 0.0000 0.0000  4 In 3.20
3 In 0.5000 0.5000 0.0000  4 In 3.20
4 Cl 0.7500 0.2500 0.5000  4 Tl 3.20

Output
The calculated volume is 29.50 A^3/atom.



Ordering by calculated energy gives the sequence (3), (1), (2), with the first entry being the most stable.



(1)
Entry from the Alexandria database: a relaxed structure of TlInCl4 (PBE).

a = 6.2149 Å, b = 6.2149 Å, c = 6.2149 Å
α = 60.00°, β = 60.00°, γ = 60.00°
Last column: nearest neighbours and their distance in Å.
Positions (direct):
1 Cl 0.3751 0.3751 0.3751  6 Cl 3.10-3.11
2 Cl 0.3751 0.8746 0.3751  6 Cl 3.10-3.11
3 Cl 0.3751 0.3751 0.8746  6 Cl 3.10-3.11
4 Cl 0.8746 0.3751 0.3751  6 Cl 3.10-3.11
5 In 0.7500 0.7500 0.7500  12 Cl 3.64, 4 Tl 3.81
6 Tl 0.0000 0.0000 0.0000  12 Cl 3.64, 4 In 3.81

Output
The calculated volume is 28.29 A^3/atom.



(2)
Entry from the Alexandria database: a relaxed structure of TlInCl4 (PBE).

a = 8.6677 Å, b = 6.4575 Å, c = 8.6251 Å
α = 105.66°, β = 115.13°, γ = 101.99°
Last column: nearest neighbours and their distance in Å.
Positions (direct):
1 Cl 0.8751 0.0721 0.6028  2 In 2.58-2.64
2 Cl 0.6394 0.8308 0.0983  1 In 2.49
3 Cl 0.3606 0.1692 0.9017  1 In 2.49
4 Cl 0.1249 0.9279 0.3972  2 In 2.58-2.64
5 Cl 0.9588 0.2675 0.0983  1 In 2.49
6 Cl 0.0412 0.7325 0.9017  1 In 2.49
7 Cl 0.2277 0.5307 0.6028  2 In 2.58-2.64
8 Cl 0.7723 0.4693 0.3972  2 In 2.58-2.64
9 Tl 0.3351 0.5851 0.1702  4 Cl 3.15-3.17
10 Tl 0.6649 0.4149 0.8298  4 Cl 3.15-3.17
11 In 0.0778 0.8278 0.6556  6 Cl 2.49-2.64
12 In 0.9222 0.1722 0.3444  6 Cl 2.49-2.64

Output
The calculated volume is 32.58 A^3/atom.



Ordering by calculated energy gives the sequence (2), (1), with the first entry being the most stable.



(1)
Entry from the Alexandria database: a relaxed structure of TlIn2Cl4 (PBE).

a = 8.8641 Å, b = 8.4220 Å, c = 8.8657 Å
α = 115.59°, β = 110.60°, γ = 104.90°
Last column: nearest neighbours and their distance in Å.
Positions (direct):
1 Cl 0.3272 0.5186 0.1927  1 Tl 2.93, 3 In 3.15
2 Cl 0.3848 0.1691 0.7814  1 In 2.56
3 Cl 0.8653 0.5810 0.7185  1 In 2.56
4 Cl 0.4108 0.1336 0.3708  1 In 2.58
5 Cl 0.7617 0.1348 0.7237  1 In 2.58
6 Cl 0.4885 0.6152 0.7762  1 In 2.58
7 Cl 0.8393 0.6164 0.1291  1 In 2.58
8 Cl 0.9225 0.2312 0.3073  1 Tl 2.93, 3 In 3.14-3.15
9 In 0.1251 0.3751 0.7501  6 Cl 3.15-3.23
10 In 0.6250 0.8750 0.2500  6 Cl 3.14-3.32
11 In 0.6250 0.3751 0.2500  6 Cl 3.15-3.23
12 In 0.6250 0.3750 0.7500  6 Cl 2.56-2.58
13 Tl 0.2146 0.6849 0.4721  2 Cl 2.93-3.27
14 Tl 0.0353 0.0650 0.0279  2 Cl 2.93-3.27

Output
The calculated volume is 34.91 A^3/atom.



(2)
Entry from the Alexandria database: a relaxed structure of TlIn2Cl4 (PBE).

a = 5.5486 Å, b = 5.5486 Å, c = 8.7572 Å
α = 108.47°, β = 108.47°, γ = 90.00°
Last column: nearest neighbours and their distance in Å.
Positions (direct):
1 Cl 0.0000 0.5000 0.0000  2 Tl 2.77
2 Cl 0.8180 0.8180 0.6361  1 In 2.77, 1 Tl 2.85
3 Cl 0.5000 0.0000 0.0000  2 Tl 2.77
4 Cl 0.1820 0.1820 0.3639  1 In 2.77, 1 Tl 2.85
5 In 0.3591 0.3591 0.7183  1 Cl 2.77
6 In 0.6409 0.6409 0.2817  1 Cl 2.77
7 Tl 0.0000 0.0000 0.0000  6 Cl 2.77-2.85

Output
The calculated volume is 34.43 A^3/atom.



Ordering by calculated energy gives the sequence (1), (2), with the first entry being the most stable.